First-principles (PBE) data for a relaxed structure of Ce4InSb5, as listed in the Alexandria database.

Computed properties:
Its total energy is -54.71 eV for the cell shown. The value obtained for the formation energy without anion corrections is -0.76 eV per atom. The value obtained for the total moment is 3.13 μB per formula unit. Its density is 7.1 g/cm3.

a = 8.608 Å, b = 8.608 Å, c = 8.608 Å
α = 150.62°, β = 99.91°, γ = 87.51°
Fractional positions:
Ce (0.208, 0.500, 0.708)
Ce (0.245, 0.245, 0.000)
Ce (0.755, 0.755, 0.000)
Ce (0.792, 0.500, 0.292)
In (0.500, 0.500, 0.000)
Sb (0.000, 0.000, 0.000)
Sb (0.163, 0.840, 0.323)
Sb (0.483, 0.160, 0.323)
Sb (0.517, 0.840, 0.677)
Sb (0.837, 0.160, 0.677)